Record 1
Entry from Alexandria via LeMat-Bulk: crystalline LiTaHg at its relaxed geometry (PBE).

Computed properties:
* calculated formation energy: 58 meV/atom
* space-group type: Cmcm (63)
* total DFT energy (no corrections): -27.79 eV/cell
* offset from the most stable computed form: 0.029 eV/atom
* total magnetic moment: 0.00 μB per cell
* Fermi-level density of states: 1.55 states/eV/f.u.

```
LiTaHg
1.0
1.4729 -8.9443 0.0000
1.4729 8.9443 0.0000
0.0000 0.0000 4.0544
Li Ta Hg
2 2 2
Direct
0.0409 0.9591 0.7500 Li
0.9591 0.0409 0.2500 Li
0.2096 0.7904 0.7500 Ta
0.7904 0.2096 0.2500 Ta
0.3899 0.6101 0.7500 Hg
0.6101 0.3899 0.2500 Hg
```

Record 2
Entry from Alexandria via LeMat-Bulk: crystalline LiTaHg at its relaxed geometry (PBE).

Computed properties:
* calculated formation energy: 73 meV/atom
* space-group type: Pm (6)
* total DFT energy (no corrections): -27.70 eV/cell
* offset from the most stable computed form: 0.045 eV/atom
* total magnetic moment: 0.00 μB per cell
* Fermi-level density of states: 1.45 states/eV/f.u.

```
LiTaHg
1.0
4.4895 0.0000 0.0000
0.0000 3.1994 0.0000
-2.1316 0.0000 7.4735
Li Ta Hg
2 2 2
Direct
0.0000 0.0000 0.0000 Li
0.3362 0.0000 0.6957 Li
0.1706 0.5000 0.3420 Ta
0.6797 0.0000 0.3608 Ta
0.5121 0.5000 0.0230 Hg
0.8317 0.5000 0.6909 Hg
```

Record 3
Entry from Alexandria via LeMat-Bulk: crystalline LiTa2Hg at its relaxed geometry (PBE).

Computed properties:
* calculated formation energy: 411 meV/atom
* space-group type: Cmmm (65)
* total DFT energy (no corrections): -24.28 eV/cell
* total magnetic moment: 0.00 μB per cell
* Fermi-level density of states: 3.66 states/eV/f.u.

```
LiTa2Hg
1.0
2.6922 -4.6884 0.0000
2.6922 4.6884 0.0000
0.0000 0.0000 2.8439
Li Ta Hg
1 2 1
Direct
0.0000 0.0000 0.0000 Li
0.0000 0.5000 0.5000 Ta
0.5000 0.0000 0.5000 Ta
0.5000 0.5000 0.0000 Hg
```

Record 4
Entry from Alexandria via LeMat-Bulk: crystalline LiTaHg2 at its relaxed geometry (PBE).

Computed properties:
* calculated formation energy: 195 meV/atom
* space-group type: P2/m (10)
* total DFT energy (no corrections): -13.59 eV/cell
* offset from the most stable computed form: 0.101 eV/atom
* total magnetic moment: 0.00 μB per cell
* Fermi-level density of states: 1.78 states/eV/f.u.

```
LiTaHg2
1.0
2.8766 0.0000 0.0000
0.0000 4.1321 0.0000
-0.0350 0.0000 6.3778
Li Ta Hg
1 1 2
Direct
0.0000 0.0000 0.0000 Li
0.0000 0.0000 0.5000 Ta
0.4965 0.5000 0.2433 Hg
0.5035 0.5000 0.7567 Hg
```

Record 5
Entry from Alexandria via LeMat-Bulk: crystalline LiTa2Hg at its relaxed geometry (PBE).

Computed properties:
* calculated formation energy: 306 meV/atom
* space-group type: P2/m (10)
* total DFT energy (no corrections): -24.70 eV/cell
* total magnetic moment: 0.00 μB per cell
* Fermi-level density of states: 2.00 states/eV/f.u.

```
LiTa2Hg
1.0
2.8605 0.0000 0.0000
0.0000 5.0860 0.0000
-0.8532 0.0000 4.9691
Li Ta Hg
1 2 1
Direct
0.0000 0.0000 0.0000 Li
0.2364 0.5000 0.7587 Ta
0.7636 0.5000 0.2413 Ta
0.5000 0.0000 0.5000 Hg
```

Record 6
Entry from Alexandria via LeMat-Bulk: crystalline LiTa2Hg at its relaxed geometry (PBE).

Computed properties:
* calculated formation energy: 533 meV/atom
* space-group type: P4/mmm (123)
* total DFT energy (no corrections): -23.79 eV/cell
* total magnetic moment: 0.00 μB per cell
* Fermi-level density of states: 3.43 states/eV/f.u.

```
LiTa2Hg
1.0
2.8452 0.0000 0.0000
0.0000 2.8452 0.0000
0.0000 0.0000 8.7054
Li Ta Hg
1 2 1
Direct
0.0000 0.0000 0.0000 Li
0.5000 0.5000 0.2302 Ta
0.5000 0.5000 0.7698 Ta
0.0000 0.0000 0.5000 Hg
```

Record 7
Entry from Alexandria via LeMat-Bulk: crystalline LiTa2Hg at its relaxed geometry (PBE).

Computed properties:
* calculated formation energy: 186 meV/atom
* space-group type: P4mm (99)
* total DFT energy (no corrections): -25.18 eV/cell
* total magnetic moment: 0.00 μB per cell
* Fermi-level density of states: 2.27 states/eV/f.u.

```
LiTa2Hg
1.0
2.8262 0.0000 0.0000
0.0000 2.8262 0.0000
0.0000 0.0000 9.3329
Li Ta Hg
1 2 1
Direct
0.0000 0.0000 0.0000 Li
0.0000 0.0000 0.5103 Ta
0.5000 0.5000 0.2701 Ta
0.5000 0.5000 0.7740 Hg
```

Record 8
Entry from Alexandria via LeMat-Bulk: crystalline LiTaHg at its relaxed geometry (PBE).

Computed properties:
* calculated formation energy: 86 meV/atom
* space-group type: Cmcm (63)
* total DFT energy (no corrections): -27.62 eV/cell
* offset from the most stable computed form: 0.058 eV/atom
* total magnetic moment: 0.00 μB per cell
* Fermi-level density of states: 1.92 states/eV/f.u.

```
LiTaHg
1.0
1.6206 -7.4670 0.0000
1.6206 7.4670 0.0000
0.0000 0.0000 4.4365
Li Ta Hg
2 2 2
Direct
0.0808 0.9192 0.7500 Li
0.9192 0.0808 0.2500 Li
0.2435 0.7565 0.2500 Ta
0.7565 0.2435 0.7500 Ta
0.4219 0.5781 0.7500 Hg
0.5781 0.4219 0.2500 Hg
```

Record 9
Entry from Alexandria via LeMat-Bulk: crystalline LiTaHg at its relaxed geometry (PBE).

Computed properties:
* calculated formation energy: 1065 meV/atom
* space-group type: F-43m (216)
* total DFT energy (no corrections): -10.87 eV/cell
* offset from the most stable computed form: 1.036 eV/atom
* total magnetic moment: 0.00 μB per cell
* Fermi-level density of states: 0.99 states/eV/f.u.

```
LiTaHg
1.0
0.0000 3.1769 3.1769
3.1769 0.0000 3.1769
3.1769 3.1769 0.0000
Li Ta Hg
1 1 1
Direct
0.0000 0.0000 0.0000 Li
0.7500 0.7500 0.7500 Ta
0.5000 0.5000 0.5000 Hg
```

Record 10
Entry from Alexandria via LeMat-Bulk: crystalline Li3TaHg at its relaxed geometry (PBE).

Computed properties:
* calculated formation energy: 943 meV/atom
* space-group type: Pm-3m (221)
* total DFT energy (no corrections): -13.18 eV/cell
* offset from the most stable computed form: 0.000 eV/atom
* total magnetic moment: 0.00 μB per cell
* Fermi-level density of states: 2.05 states/eV/f.u.

```
Li3TaHg
1.0
4.5909 0.0000 0.0000
0.0000 4.5909 0.0000
0.0000 0.0000 4.5909
Li Ta Hg
3 1 1
Direct
0.0000 0.0000 0.5000 Li
0.0000 0.5000 0.0000 Li
0.5000 0.0000 0.0000 Li
0.5000 0.5000 0.5000 Ta
0.0000 0.0000 0.0000 Hg
```

Record 11
Entry from Alexandria via LeMat-Bulk: crystalline LiTaHg2 at its relaxed geometry (PBE).

Computed properties:
* calculated formation energy: 280 meV/atom
* space-group type: Cmm2 (35)
* total DFT energy (no corrections): -13.25 eV/cell
* offset from the most stable computed form: 0.185 eV/atom
* total magnetic moment: 0.00 μB per cell
* Fermi-level density of states: 3.13 states/eV/f.u.

```
LiTaHg2
1.0
1.7596 -2.3011 0.0000
1.7596 2.3011 0.0000
0.0000 0.0000 9.8120
Li Ta Hg
1 1 2
Direct
0.0000 0.0000 0.0000 Li
0.5000 0.5000 0.7534 Ta
0.0000 0.0000 0.5079 Hg
0.5000 0.5000 0.2209 Hg
```

Record 12
Entry from Alexandria via LeMat-Bulk: crystalline LiTaHg2 at its relaxed geometry (PBE).

Computed properties:
* calculated formation energy: 721 meV/atom
* space-group type: I-42d (122)
* total DFT energy (no corrections): -22.97 eV/cell
* offset from the most stable computed form: 0.626 eV/atom
* total magnetic moment: 0.00 μB per cell
* Fermi-level density of states: 2.84 states/eV/f.u.

```
LiTaHg2
1.0
-2.1683 2.1683 9.1501
2.1683 -2.1683 9.1501
2.1683 2.1683 -9.1501
Li Ta Hg
2 2 4
Direct
0.0000 0.0000 0.0000 Li
0.7500 0.2500 0.5000 Li
0.2500 0.7500 0.5000 Ta
0.5000 0.5000 0.0000 Ta
0.1087 0.6250 0.9837 Hg
0.3750 0.3587 0.4837 Hg
0.6413 0.1250 0.0163 Hg
0.8750 0.8913 0.5163 Hg
```

Record 13
Entry from Alexandria via LeMat-Bulk: crystalline LiTa2Hg at its relaxed geometry (PBE).

Computed properties:
* calculated formation energy: 298 meV/atom
* space-group type: P4/mmm (123)
* total DFT energy (no corrections): -24.73 eV/cell
* total magnetic moment: 0.00 μB per cell
* Fermi-level density of states: 2.41 states/eV/f.u.

```
LiTa2Hg
1.0
3.8537 0.0000 0.0000
0.0000 3.8537 0.0000
0.0000 0.0000 4.7218
Li Ta Hg
1 2 1
Direct
0.0000 0.0000 0.0000 Li
0.0000 0.5000 0.5000 Ta
0.5000 0.0000 0.5000 Ta
0.5000 0.5000 0.0000 Hg
```

Record 14
Entry from Alexandria via LeMat-Bulk: crystalline LiTa2Hg at its relaxed geometry (PBE).

Computed properties:
* calculated formation energy: 464 meV/atom
* space-group type: I-4m2 (119)
* total DFT energy (no corrections): -24.06 eV/cell
* total magnetic moment: 0.85 μB per cell
* Fermi-level density of states: 3.76 states/eV/f.u.

```
LiTa2Hg
1.0
-2.0581 2.0581 4.2045
2.0581 -2.0581 4.2045
2.0581 2.0581 -4.2045
Li Ta Hg
1 2 1
Direct
0.0000 0.0000 0.0000 Li
0.2500 0.7500 0.5000 Ta
0.5000 0.5000 0.0000 Ta
0.7500 0.2500 0.5000 Hg
```